Record 1
Compound: V2BiAu2
Source: Alexandria via LeMat-Bulk
Functional: PBE
Structure: optimized geometry

a = 6.855 Å, b = 6.855 Å, c = 4.034 Å
α = 90.00°, β = 90.00°, γ = 90.00°
Atoms (fractional coordinates):
V1 0.114 0.386 0.000
V2 0.386 0.886 0.000
V3 0.614 0.114 0.000
V4 0.886 0.614 0.000
Bi1 0.000 0.000 0.000
Bi2 0.500 0.500 0.000
Au1 0.160 0.660 0.500
Au2 0.340 0.160 0.500
Au3 0.660 0.840 0.500
Au4 0.840 0.340 0.500

## Properties
DFT formation energy: 0.230 eV/atom
symmetry: No. 127

Record 2
Compound: PuPa2Tc3
Source: Alexandria via LeMat-Bulk
Functional: PBE
Structure: optimized geometry

a = 4.602 Å, b = 15.110 Å, c = 3.466 Å
α = 90.00°, β = 90.00°, γ = 90.00°
Atoms (fractional coordinates):
Pu1 0.250 0.250 0.003
Pu2 0.750 0.750 0.997
Pa1 0.250 0.588 0.998
Pa2 0.250 0.912 0.998
Pa3 0.750 0.088 0.002
Pa4 0.750 0.412 0.002
Tc1 0.250 0.075 0.502
Tc2 0.250 0.425 0.502
Tc3 0.250 0.750 0.497
Tc4 0.750 0.250 0.503
Tc5 0.750 0.575 0.498
Tc6 0.750 0.925 0.498

## Properties
DFT formation energy: -0.099 eV/atom
energy above the most stable polymorph in this dataset: 0.0 meV per atom
symmetry: No. 59

Record 3
Compound: BaTbZnAg
Source: Alexandria via LeMat-Bulk
Functional: PBE
Structure: optimized geometry

a = 5.456 Å, b = 5.456 Å, c = 5.456 Å
α = 60.00°, β = 60.00°, γ = 60.00°
Atoms (fractional coordinates):
Ba1 0.000 0.000 0.000
Tb1 0.500 0.500 0.500
Zn1 0.750 0.750 0.750
Ag1 0.250 0.250 0.250

## Properties
DFT formation energy: -0.096 eV/atom
symmetry: No. 216

Record 4
Compound: KLiPr2Se4
Source: Alexandria via LeMat-Bulk
Functional: PBE
Structure: optimized geometry

a = 8.720 Å, b = 8.720 Å, c = 8.720 Å
α = 120.96°, β = 119.37°, γ = 89.72°
Atoms (fractional coordinates):
K1 0.500 0.000 0.000
K2 0.500 0.500 0.500
Li1 0.000 0.000 0.000
Li2 0.500 0.000 0.500
Pr1 0.000 0.000 0.500
Pr2 0.000 0.500 0.000
Pr3 0.000 0.500 0.500
Pr4 0.500 0.500 0.000
Se1 0.227 0.744 0.482
Se2 0.238 0.256 0.982
Se3 0.242 0.247 0.505
Se4 0.242 0.737 0.995
Se5 0.758 0.263 0.005
Se6 0.758 0.753 0.495
Se7 0.762 0.744 0.018
Se8 0.773 0.256 0.518

## Properties
formation energy from raw total energies: -1657 meV per atom
symmetry: No. 74

Record 5
Compound: PuTiP
Source: Alexandria via LeMat-Bulk
Functional: PBE
Structure: optimized geometry

a = 3.898 Å, b = 3.898 Å, c = 7.940 Å
α = 103.91°, β = 103.91°, γ = 90.00°
Atoms (fractional coordinates):
Pu1 0.175 0.175 0.356
Pu2 0.825 0.825 0.644
Ti1 0.000 0.500 0.000
Ti2 0.500 0.000 0.000
P1 0.385 0.385 0.765
P2 0.615 0.615 0.235

## Properties
DFT formation energy: -0.858 eV/atom
symmetry: No. 12

Record 6
Compound: BeNbI2O
Source: Alexandria via LeMat-Bulk
Functional: PBE
Structure: optimized geometry

a = 5.716 Å, b = 5.716 Å, c = 3.909 Å
α = 90.00°, β = 90.00°, γ = 90.00°
Atoms (fractional coordinates):
Be1 0.000 0.000 0.000
Nb1 0.500 0.500 0.500
I1 0.000 0.500 0.500
I2 0.500 0.000 0.500
O1 0.500 0.500 0.000

## Properties
formation energy from raw total energies: -143 meV per atom
energy above the most stable polymorph in this dataset: 52.4 meV per atom
symmetry: No. 123

Record 7
Compound: Sr2HgAs
Source: Alexandria via LeMat-Bulk
Functional: PBE
Structure: optimized geometry

a = 5.556 Å, b = 5.556 Å, c = 5.556 Å
α = 60.00°, β = 60.00°, γ = 60.00°
Atoms (fractional coordinates):
Sr1 0.000 0.000 0.000
Sr2 0.250 0.250 0.250
Hg1 0.750 0.750 0.750
As1 0.500 0.500 0.500

## Properties
DFT formation energy: -0.287 eV/atom
energy above the most stable polymorph in this dataset: 539.9 meV per atom
symmetry: No. 216

Record 8
Compound: LaZr2Be2
Source: Alexandria via LeMat-Bulk
Functional: PBE
Structure: optimized geometry

a = 8.040 Å, b = 8.040 Å, c = 2.999 Å
α = 90.00°, β = 90.00°, γ = 90.00°
Atoms (fractional coordinates):
La1 0.000 0.000 0.000
La2 0.500 0.500 0.000
Zr1 0.131 0.369 0.000
Zr2 0.369 0.869 0.000
Zr3 0.631 0.131 0.000
Zr4 0.869 0.631 0.000
Be1 0.165 0.665 0.500
Be2 0.335 0.165 0.500
Be3 0.665 0.835 0.500
Be4 0.835 0.335 0.500

## Properties
DFT formation energy: 0.190 eV/atom
energy above the most stable polymorph in this dataset: 46.3 meV per atom
symmetry: No. 127

In order of appearance, D(E_F) = 3.6 8.8 4.0 0.0 9.2 4.1 1.6 3.4 states/eV/f.u..
In order of appearance, total magnetic moment = 0.000 9.255 0.000 0.000 11.634 0.615 0.000 0.000 μB per cell.
In order of appearance, ρ = 12.3 13.8 6.8 4.6 9.4 4.8 6.2 5.8 g/cm3.